{
  "formula": "TaTe2",
  "functional": "PBE-GGA",
  "state": "relaxed",
  "lattice": [[-1.812, 2.852, -3.975], [-2.848, -3.938, 1.896], [-1.336, 1.925, 1.990]],
  "species": ["Ta", "Te", "Te"],
  "fractional_positions": [[0.000, 0.000, 0.500], [0.333, 0.667, 0.000], [0.667, 0.333, 0.000]],
  "dft_energy_ev_per_atom": -5.107,
  "magnetic_moment_mub_per_fu": 0.0
}